! ZrZnAg2, relaxed, DFT PBE; values from VASP
&SYSTEM
  ibrav = 0, nat = 4, ntyp = 3
/
ATOMIC_SPECIES
Ag 107.87 Ag.upf
Zn 65.41 Zn.upf
Zr 91.22 Zr.upf
CELL_PARAMETERS angstrom
0.0000 3.3031 3.3031
3.3031 0.0000 3.3031
3.3031 3.3031 0.0000
ATOMIC_POSITIONS crystal
Ag 0.0000 0.0000 0.0000
Ag 0.7500 0.7500 0.7500
Zn 0.5000 0.5000 0.5000
Zr 0.2500 0.2500 0.2500
! space-group type = F-43m
! magnetization = 0.0 μB/f.u.
! raw total energy = -3.965 eV/atom
! energy relative to the elements = -0.10 eV/atom